(1)
Below is a relaxed structure of Lu2CdMo, with properties calculated at the PBE level.

Properties
Mass density   10.166 g cm⁻³
E_form   4 meV/atom
DFT total energy   -5.193 eV/atom
DOS(E_F)   5.28 states/eV per cell

abc: 3.469 3.469 7.576
angles: 90.00 90.00 90.00
Fractional coordinates of all 4 atoms:
Lu1 0.000 0.000 0.780
Lu2 0.000 0.000 0.220
Mo1 0.500 0.500 0.000
Cd1 0.500 0.500 0.500

***

(2)
Below is a relaxed structure of NpAg3O7, with properties calculated at the PBE level.

Properties
Mass density   6.714 g cm⁻³
DFT total energy   -5.994 eV/atom
DOS(E_F)   0.49 states/eV per cell
Uncorrected formation energy   -885 meV per atom

abc: 6.248 6.248 5.586
angles: 112.52 112.52 103.66
Site moments in Bohr magnetons follow the coordinates.
Fractional coordinates of all 11 atoms:
O1 0.708 0.180 0.910  0.01
O2 0.797 0.797 0.110  0.01
O3 0.646 0.646 0.531  0.01
O4 0.180 0.708 0.910  0.01
O5 0.922 0.312 0.222  0.01
O6 0.118 0.118 0.812  0.01
O7 0.312 0.922 0.222  0.01
Ag1 0.737 0.288 0.537  0.01
Ag2 0.288 0.737 0.537  0.01
Ag3 0.471 0.471 0.011  0.01
Np1 0.947 0.947 0.948  -0.18